Entry 1:
The following is a DFT calculation (SCAN) of a crystal of ZrMnSe relaxed with PBEsol.

abc: 4.1245 4.1245 4.1245
angles: 60.00 60.00 60.00
Last column: magnetic moment on the atom in μB.
Element x y z (fractional)
Mn  0.2500  0.2500  0.2500  1.42
Se  0.0000  0.0000  0.0000  -0.01
Zr  0.5000  0.5000  0.5000  -0.35

## Properties
energy relative to the elements, uncorrected = -327 meV/atom
calculated volume = 49.6 Å³/cell
ΔE to the lowest computed polymorph = 249.3 meV/atom
size of the total moment = 0.333 μB/atom


Entry 2:
The following is a DFT calculation (SCAN) of a crystal of ZrMnSe relaxed with PBEsol.

abc: 4.4116 4.4116 4.4116
angles: 60.00 60.00 60.00
Last column: magnetic moment on the atom in μB.
Element x y z (fractional)
Mn  0.0000  0.0000  0.0000  3.52
Se  0.5000  0.5000  0.5000  0.09
Zr  0.2500  0.2500  0.2500  -0.78

## Properties
energy relative to the elements, uncorrected = 34 meV/atom
calculated volume = 60.7 Å³/cell
ΔE to the lowest computed polymorph = 610.0 meV/atom
size of the total moment = 0.896 μB/atom


Entry 3:
The following is a DFT calculation (SCAN) of a crystal of Mn4Si7 relaxed with PBEsol.

abc: 5.4469 5.4469 17.1919
angles: 90.00 90.00 90.00
Element x y z (fractional)
Si  0.3460  0.7692  0.0386
Si  0.6540  0.2308  0.0386
Si  0.7692  0.6540  0.9614
Si  0.2308  0.3460  0.9614
Si  0.3460  0.2308  0.5386
Si  0.6540  0.7692  0.5386
Si  0.7692  0.3460  0.4614
Si  0.2308  0.6540  0.4614
Si  0.2000  0.1556  0.1126
Si  0.8000  0.8444  0.1126
Si  0.1556  0.8000  0.8874
Si  0.8444  0.2000  0.8874
Si  0.2000  0.8444  0.6126
Si  0.8000  0.1556  0.6126
Si  0.1556  0.2000  0.3874
Si  0.8444  0.8000  0.3874
Si  0.1593  0.6794  0.1824
Si  0.8407  0.3206  0.1824
Si  0.6794  0.8407  0.8176
Si  0.3206  0.1593  0.8176
Si  0.1593  0.3206  0.6824
Si  0.8407  0.6794  0.6824
Si  0.6794  0.1593  0.3176
Si  0.3206  0.8407  0.3176
Si  0.3334  0.3334  0.2500
Si  0.6666  0.6666  0.2500
Si  0.3334  0.6666  0.7500
Si  0.6666  0.3334  0.7500
Mn  0.0000  0.0000  0.2500
Mn  0.0000  0.0000  0.7500
Mn  0.0000  0.0000  0.0000
Mn  0.0000  0.0000  0.5000
Mn  0.5000  0.5000  0.1300
Mn  0.5000  0.5000  0.8700
Mn  0.5000  0.5000  0.6300
Mn  0.5000  0.5000  0.3700
Mn  0.0000  0.5000  0.0651
Mn  0.5000  0.0000  0.9349
Mn  0.0000  0.5000  0.5651
Mn  0.5000  0.0000  0.4349
Mn  0.0000  0.5000  0.3083
Mn  0.5000  0.0000  0.6917
Mn  0.0000  0.5000  0.8083
Mn  0.5000  0.0000  0.1917

## Properties
energy relative to the elements, uncorrected = -370 meV/atom
calculated volume = 510.1 Å³/cell
size of the total moment = 0.000 μB/atom


Entry 4:
The following is a DFT calculation (SCAN) of a crystal of Mn8Si relaxed with PBEsol.

abc: 3.4809 5.4866 5.4866
angles: 84.22 71.51 71.51
Last column: magnetic moment on the atom in μB.
Element x y z (fractional)
Mn  0.3278  0.0000  0.3444  -1.83
Mn  0.6722  0.0000  0.6556  -1.83
Mn  0.6592  0.3408  0.3408  1.48
Mn  0.3278  0.3444  0.0000  -1.83
Mn  0.0000  0.3408  0.6592  1.48
Mn  0.6722  0.6556  0.0000  -1.83
Mn  0.3408  0.6592  0.6592  1.48
Mn  0.0000  0.6592  0.3408  1.48
Si  0.0000  0.0000  0.0000  0.02

## Properties
energy relative to the elements, uncorrected = 2 meV/atom
calculated volume = 94.2 Å³/cell
size of the total moment = 0.149 μB/atom


Entry 5:
The following is a DFT calculation (SCAN) of a crystal of Mn5Si3 relaxed with PBEsol.

abc: 3.6671 4.9668 4.9668
angles: 96.25 90.00 90.00
Last column: magnetic moment on the atom in μB.
Element x y z (fractional)
Mn  0.0000  0.0000  0.0000  1.53
Mn  0.0000  0.0000  0.5000  2.33
Mn  0.0000  0.5000  0.0000  2.33
Mn  0.5000  0.2819  0.2819  1.85
Mn  0.5000  0.7181  0.7181  1.85
Si  0.0000  0.5000  0.5000  -0.11
Si  0.5000  0.7825  0.2175  -0.17
Si  0.5000  0.2175  0.7825  -0.17

## Properties
energy relative to the elements, uncorrected = -437 meV/atom
calculated volume = 89.9 Å³/cell
ΔE to the lowest computed polymorph = 0.0 meV/atom
size of the total moment = 1.182 μB/atom


Entry 6:
The following is a DFT calculation (SCAN) of a crystal of Mn5Si3 relaxed with PBEsol.

abc: 4.5255 6.6602 6.6602
angles: 120.00 90.00 90.00
Element x y z (fractional)
Si  0.7500  0.3935  0.3935
Si  0.7500  0.0000  0.6065
Si  0.7500  0.6065  0.0000
Si  0.2500  0.6065  0.6065
Si  0.2500  0.0000  0.3935
Si  0.2500  0.3935  0.0000
Mn  0.0000  0.6667  0.3333
Mn  0.5000  0.3333  0.6667
Mn  0.0000  0.3333  0.6667
Mn  0.5000  0.6667  0.3333
Mn  0.7500  0.7636  0.7636
Mn  0.7500  0.0000  0.2364
Mn  0.7500  0.2364  0.0000
Mn  0.2500  0.2364  0.2364
Mn  0.2500  0.0000  0.7636
Mn  0.2500  0.7636  0.0000

## Properties
energy relative to the elements, uncorrected = -288 meV/atom
calculated volume = 173.8 Å³/cell
ΔE to the lowest computed polymorph = 149.5 meV/atom
size of the total moment = 0.000 μB/atom


Entry 7:
The following is a DFT calculation (SCAN) of a crystal of SmMnSi relaxed with PBEsol.

abc: 3.9324 3.9324 7.1240
angles: 90.00 90.00 90.00
Last column: magnetic moment on the atom in μB.
Element x y z (fractional)
Si  0.5000  0.0000  0.3085  -0.11
Si  0.0000  0.5000  0.6915  -0.11
Mn  0.0000  0.0000  0.5000  2.33
Mn  0.5000  0.5000  0.5000  2.33
Sm  0.5000  0.0000  0.8289  -0.16
Sm  0.0000  0.5000  0.1711  -0.16

## Properties
energy relative to the elements, uncorrected = -611 meV/atom
calculated volume = 110.2 Å³/cell
size of the total moment = 0.617 μB/atom


Entry 8:
The following is a DFT calculation (SCAN) of a crystal of MnSi2Sn relaxed with PBEsol.

abc: 4.2208 4.2208 8.5352
angles: 104.32 104.32 90.00
Last column: magnetic moment on the atom in μB.
Element x y z (fractional)
Si  0.4773  0.8750  0.2500  -0.04
Si  0.7727  0.3750  0.2500  -0.04
Si  0.1250  0.2273  0.7500  -0.04
Si  0.6250  0.5227  0.7500  -0.04
Mn  0.7500  0.2500  0.5000  2.97
Mn  0.5000  0.5000  0.0000  2.97
Sn  0.2500  0.7500  0.5000  -0.08
Sn  0.0000  0.0000  0.0000  -0.08

## Properties
energy relative to the elements, uncorrected = 280 meV/atom
calculated volume = 142.5 Å³/cell
size of the total moment = 0.722 μB/atom


Entry 9:
The following is a DFT calculation (SCAN) of a crystal of Sr2MnSi relaxed with PBEsol.

abc: 3.7960 3.7960 9.7331
angles: 78.75 78.75 60.00
Last column: magnetic moment on the atom in μB.
Element x y z (fractional)
Mn  0.5000  0.5000  0.5000  4.28
Si  0.0000  0.0000  0.0000  0.02
Sr  0.2546  0.2546  0.2363  -0.07
Sr  0.7454  0.7454  0.7637  -0.07

## Properties
energy relative to the elements, uncorrected = 347 meV/atom
calculated volume = 118.3 Å³/cell
size of the total moment = 0.972 μB/atom


Entry 10:
The following is a DFT calculation (SCAN) of a crystal of Sr2MnSi relaxed with PBEsol.

abc: 4.6538 4.6538 5.7274
angles: 113.97 113.97 90.00
Last column: magnetic moment on the atom in μB.
Element x y z (fractional)
Mn  0.5000  0.5000  0.0000  4.26
Si  0.2500  0.7500  0.5000  0.00
Sr  0.0000  0.0000  0.0000  -0.04
Sr  0.7500  0.2500  0.5000  -0.04

## Properties
energy relative to the elements, uncorrected = 192 meV/atom
calculated volume = 101.5 Å³/cell
size of the total moment = 1.076 μB/atom


Entry 11:
The following is a DFT calculation (SCAN) of a crystal of Sr2MnSi relaxed with PBEsol.

abc: 4.3866 4.9107 4.9107
angles: 90.00 90.00 90.00
Last column: magnetic moment on the atom in μB.
Element x y z (fractional)
Mn  0.5000  0.5000  0.5000  4.43
Si  0.5000  0.0000  0.0000  -0.02
Sr  0.0000  0.0000  0.5000  0.00
Sr  0.0000  0.5000  0.0000  0.00

## Properties
energy relative to the elements, uncorrected = 27 meV/atom
calculated volume = 105.8 Å³/cell
size of the total moment = 1.195 μB/atom


Entry 12:
The following is a DFT calculation (SCAN) of a crystal of SrMnSi relaxed with PBEsol.

abc: 4.8960 4.8960 4.8960
angles: 60.00 60.00 60.00
Last column: magnetic moment on the atom in μB.
Element x y z (fractional)
Mn  0.0000  0.0000  0.0000  4.55
Si  0.5000  0.5000  0.5000  -0.07
Sr  0.2500  0.2500  0.2500  0.04

## Properties
energy relative to the elements, uncorrected = 754 meV/atom
calculated volume = 83.0 Å³/cell
size of the total moment = 1.626 μB/atom


Entry 13:
The following is a DFT calculation (SCAN) of a crystal of TaMn2Si relaxed with PBEsol.

abc: 3.5146 3.5146 4.7978
angles: 111.49 111.49 90.00
Last column: magnetic moment on the atom in μB.
Element x y z (fractional)
Mn  0.0000  0.0000  0.0000  2.85
Mn  0.7500  0.2500  0.5000  -1.73
Si  0.5000  0.5000  0.0000  -0.06
Ta  0.2500  0.7500  0.5000  0.16

## Properties
energy relative to the elements, uncorrected = -262 meV/atom
calculated volume = 50.7 Å³/cell
size of the total moment = 0.330 μB/atom


Entry 14:
The following is a DFT calculation (SCAN) of a crystal of Ta3MnSi relaxed with PBEsol.

abc: 4.5042 4.5042 4.5042
angles: 90.00 90.00 90.00
Element x y z (fractional)
Si  0.5000  0.5000  0.5000
Mn  0.0000  0.0000  0.0000
Ta  0.0000  0.5000  0.0000
Ta  0.0000  0.0000  0.5000
Ta  0.5000  0.0000  0.0000

## Properties
energy relative to the elements, uncorrected = 834 meV/atom
calculated volume = 91.4 Å³/cell
size of the total moment = 0.000 μB/atom


Entry 15:
The following is a DFT calculation (SCAN) of a crystal of Ta2MnSi relaxed with PBEsol.

abc: 3.2499 3.2715 5.5290
angles: 90.00 90.00 90.00
Last column: magnetic moment on the atom in μB.
Element x y z (fractional)
Mn  0.5000  0.5000  0.5000  1.28
Si  0.5000  0.5000  0.0000  0.00
Ta  0.0000  0.0000  0.2497  -0.11
Ta  0.0000  0.0000  0.7503  -0.11

## Properties
energy relative to the elements, uncorrected = -177 meV/atom
calculated volume = 58.8 Å³/cell
ΔE to the lowest computed polymorph = 91.1 meV/atom
size of the total moment = 0.257 μB/atom


Entry 16:
The following is a DFT calculation (SCAN) of a crystal of Ta2MnSi relaxed with PBEsol.

abc: 3.1961 3.8832 4.9930
angles: 90.00 108.67 90.00
Element x y z (fractional)
Mn  0.8354  0.0000  0.6709
Si  0.6757  0.5000  0.3513
Ta  0.1007  0.0000  0.2014
Ta  0.3964  0.5000  0.7928

## Properties
energy relative to the elements, uncorrected = -268 meV/atom
calculated volume = 58.7 Å³/cell
ΔE to the lowest computed polymorph = 0.0 meV/atom
size of the total moment = 0.000 μB/atom


Entry 17:
The following is a DFT calculation (SCAN) of a crystal of Ta2MnSi relaxed with PBEsol.

abc: 4.0028 4.6303 4.0028
angles: 64.39 90.00 115.61
Last column: magnetic moment on the atom in μB.
Element x y z (fractional)
Mn  0.5000  0.0000  0.5000  2.05
Si  0.0000  0.0000  0.0000  -0.02
Ta  0.2500  0.5000  0.2500  -0.13
Ta  0.7500  0.5000  0.7500  -0.13

## Properties
energy relative to the elements, uncorrected = -203 meV/atom
calculated volume = 58.7 Å³/cell
ΔE to the lowest computed polymorph = 65.0 meV/atom
size of the total moment = 0.443 μB/atom


Entry 18:
The following is a DFT calculation (SCAN) of a crystal of Ta2MnSi relaxed with PBEsol.

abc: 3.0075 4.4801 4.4801
angles: 105.09 90.00 90.00
Last column: magnetic moment on the atom in μB.
Element x y z (fractional)
Mn  0.5000  0.0000  0.0000  2.57
Si  0.5000  0.5000  0.5000  0.01
Ta  0.0000  0.5000  0.0000  -0.19
Ta  0.0000  0.0000  0.5000  -0.19

## Properties
energy relative to the elements, uncorrected = -178 meV/atom
calculated volume = 58.3 Å³/cell
ΔE to the lowest computed polymorph = 90.4 meV/atom
size of the total moment = 0.542 μB/atom


Entry 19:
The following is a DFT calculation (SCAN) of a crystal of TaMnSi relaxed with PBEsol.

abc: 6.3355 7.1880 6.9508
angles: 61.09 90.00 116.15
Last column: magnetic moment on the atom in μB.
Element x y z (fractional)
Ta  0.0986  0.6055  0.4473  0.12
Ta  0.4932  0.3945  0.5527  0.12
Ta  0.4933  0.4391  0.0304  0.06
Ta  0.0541  0.5609  0.9696  0.06
Ta  0.9143  0.0035  0.2483  0.04
Ta  0.9108  0.9965  0.7517  0.04
Mn  0.7438  0.2464  0.8446  -1.70
Mn  0.4973  0.7536  0.1554  -1.70
Mn  0.7438  0.2464  0.4090  -1.70
Mn  0.4973  0.7536  0.5910  -1.70
Mn  0.2525  0.0000  0.5000  2.50
Mn  0.2525  0.0000  0.0000  2.50
Si  0.8282  0.6654  0.6612  0.01
Si  0.1627  0.3346  0.3388  0.01
Si  0.8282  0.6654  0.1733  0.01
Si  0.1627  0.3346  0.8267  0.01
Si  0.5295  0.0502  0.2249  0.03
Si  0.4793  0.9498  0.7751  0.03

## Properties
energy relative to the elements, uncorrected = -567 meV/atom
calculated volume = 239.4 Å³/cell
size of the total moment = 0.055 μB/atom


Entry 20:
The following is a DFT calculation (SCAN) of a crystal of Ta2MnSi relaxed with PBEsol.

abc: 2.7787 2.7787 7.7077
angles: 90.00 90.00 90.00
Last column: magnetic moment on the atom in μB.
Element x y z (fractional)
Mn  0.5000  0.5000  0.0000  3.07
Si  0.5000  0.5000  0.5000  0.00
Ta  0.0000  0.0000  0.7491  -0.08
Ta  0.0000  0.0000  0.2509  -0.08

## Properties
energy relative to the elements, uncorrected = -58 meV/atom
calculated volume = 59.5 Å³/cell
ΔE to the lowest computed polymorph = 209.6 meV/atom
size of the total moment = 0.749 μB/atom


Entry 21:
The following is a DFT calculation (SCAN) of a crystal of TaMnSi relaxed with PBEsol.

abc: 3.4495 6.3337 6.3337
angles: 120.00 90.00 90.00
Last column: magnetic moment on the atom in μB.
Element x y z (fractional)
Ta  0.5000  0.5885  0.5885  -0.16
Ta  0.5000  0.0000  0.4115  -0.16
Ta  0.5000  0.4115  0.0000  -0.16
Mn  0.0000  0.2461  0.2461  1.19
Mn  0.0000  0.0000  0.7539  1.19
Mn  0.0000  0.7539  0.0000  1.19
Si  0.0000  0.6667  0.3333  -0.01
Si  0.0000  0.3333  0.6667  -0.01
Si  0.5000  0.0000  0.0000  -0.06

## Properties
energy relative to the elements, uncorrected = -522 meV/atom
calculated volume = 119.8 Å³/cell
size of the total moment = 0.319 μB/atom


Entry 22:
The following is a DFT calculation (SCAN) of a crystal of Ta3Mn8Si relaxed with PBEsol.

abc: 4.6866 4.6866 7.7230
angles: 90.00 90.00 120.00
Last column: magnetic moment on the atom in μB.
Element x y z (fractional)
Ta  0.3333  0.6667  0.5583  0.00
Ta  0.3333  0.6667  0.9352  0.02
Ta  0.0000  0.0000  0.0793  -0.14
Mn  0.6667  0.3333  0.4954  1.50
Mn  0.6667  0.3333  0.9906  2.12
Mn  0.4957  0.5043  0.2531  0.66
Mn  0.4957  0.9913  0.2531  0.66
Mn  0.0087  0.5043  0.2531  0.66
Mn  0.8404  0.1596  0.7473  -1.09
Mn  0.8404  0.6808  0.7473  -1.09
Mn  0.3192  0.1596  0.7473  -1.09
Si  0.0000  0.0000  0.4399  -0.04

## Properties
energy relative to the elements, uncorrected = -156 meV/atom
calculated volume = 146.9 Å³/cell
size of the total moment = 0.179 μB/atom


Entry 23:
The following is a DFT calculation (SCAN) of a crystal of TaMnSi relaxed with PBEsol.

abc: 4.1424 4.1424 4.1424
angles: 60.00 60.00 60.00
Last column: magnetic moment on the atom in μB.
Element x y z (fractional)
Mn  0.0000  0.0000  0.0000  3.01
Si  0.5000  0.5000  0.5000  0.02
Ta  0.2500  0.2500  0.2500  -0.62

## Properties
energy relative to the elements, uncorrected = 482 meV/atom
calculated volume = 50.3 Å³/cell
size of the total moment = 0.786 μB/atom


Entry 24:
The following is a DFT calculation (SCAN) of a crystal of TaMn2Si relaxed with PBEsol.

abc: 2.7427 4.0772 4.6456
angles: 90.00 102.78 90.00
Last column: magnetic moment on the atom in μB.
Element x y z (fractional)
Mn  0.9906  0.0000  0.0379  1.67
Mn  0.6707  0.5000  0.2337  -1.76
Si  0.6329  0.0000  0.4896  -0.03
Ta  0.2059  0.5000  0.7388  -0.01

## Properties
energy relative to the elements, uncorrected = -152 meV/atom
calculated volume = 50.7 Å³/cell
size of the total moment = 0.048 μB/atom